P) # BP2RhO PBE-GGA relaxed
# - total magnetization (μB/atom) = 0.000
# - space-group type = P4/mmm, No. 123
# - crystal system = tetragonal
data_BP2RhO
_space_group_name_H-M_alt 'P 1'
_space_group_IT_number 1
_space_group_name_Hall 'P 1'
_cell_length_a 4.732
_cell_length_b 4.732
_cell_length_c 3.646
_cell_angle_alpha 90.00
_cell_angle_beta 90.00
_cell_angle_gamma 90.00
loop_
_atom_site_label
_atom_site_fract_x
_atom_site_fract_y
_atom_site_fract_z
_atom_site_occupancy
P1 0.000 0.500 0.000 1
P2 0.500 0.000 0.000 1
B1 0.500 0.500 0.500 1
Rh1 0.000 0.000 0.000 1
O1 0.000 0.000 0.500 1

Q) # BP2RhO PBE-GGA relaxed
# - total magnetization (μB/atom) = 0.000
# - space-group type = P4/mmm, No. 123
# - crystal system = tetragonal
data_BP2RhO
_space_group_name_H-M_alt 'P 1'
_space_group_IT_number 1
_space_group_name_Hall 'P 1'
_cell_length_a 4.619
_cell_length_b 4.619
_cell_length_c 2.771
_cell_angle_alpha 90.00
_cell_angle_beta 90.00
_cell_angle_gamma 90.00
loop_
_atom_site_label
_atom_site_fract_x
_atom_site_fract_y
_atom_site_fract_z
_atom_site_occupancy
P1 0.000 0.500 0.000 1
P2 0.500 0.000 0.000 1
B1 0.000 0.000 0.000 1
Rh1 0.500 0.500 0.500 1
O1 0.000 0.000 0.500 1

It is Q) that is the most stable of them.

P) # BP2RuO PBE-GGA relaxed
# - total magnetization (μB/atom) = 0.001
# - space-group type = P4/mmm, No. 123
# - crystal system = tetragonal
data_BP2RuO
_space_group_name_H-M_alt 'P 1'
_space_group_IT_number 1
_space_group_name_Hall 'P 1'
_cell_length_a 4.707
_cell_length_b 4.707
_cell_length_c 3.623
_cell_angle_alpha 90.00
_cell_angle_beta 90.00
_cell_angle_gamma 90.00
loop_
_atom_site_label
_atom_site_fract_x
_atom_site_fract_y
_atom_site_fract_z
_atom_site_occupancy
Ru1 0.000 0.000 0.000 1
B1 0.500 0.500 0.500 1
O1 0.000 0.000 0.500 1
P1 0.000 0.500 0.000 1
P2 0.500 0.000 0.000 1

Q) # BP2RuO PBE-GGA relaxed
# - total magnetization (μB/atom) = 0.000
# - space-group type = P4/mmm, No. 123
# - crystal system = tetragonal
data_BP2RuO
_space_group_name_H-M_alt 'P 1'
_space_group_IT_number 1
_space_group_name_Hall 'P 1'
_cell_length_a 4.575
_cell_length_b 4.575
_cell_length_c 2.779
_cell_angle_alpha 90.00
_cell_angle_beta 90.00
_cell_angle_gamma 90.00
loop_
_atom_site_label
_atom_site_fract_x
_atom_site_fract_y
_atom_site_fract_z
_atom_site_occupancy
Ru1 0.500 0.500 0.500 1
B1 0.000 0.000 0.000 1
O1 0.000 0.000 0.500 1
P1 0.000 0.500 0.000 1
P2 0.500 0.000 0.000 1

It is Q) that is the most stable of them.

P) # ScBP2O PBE-GGA relaxed
# - total magnetization (μB/atom) = 0.000
# - space-group type = P4/mmm, No. 123
# - crystal system = tetragonal
data_ScBP2O
_space_group_name_H-M_alt 'P 1'
_space_group_IT_number 1
_space_group_name_Hall 'P 1'
_cell_length_a 5.147
_cell_length_b 5.147
_cell_length_c 3.796
_cell_angle_alpha 90.00
_cell_angle_beta 90.00
_cell_angle_gamma 90.00
loop_
_atom_site_label
_atom_site_fract_x
_atom_site_fract_y
_atom_site_fract_z
_atom_site_occupancy
Sc1 0.000 0.000 0.000 1
P1 0.000 0.500 0.000 1
P2 0.500 0.000 0.000 1
B1 0.500 0.500 0.500 1
O1 0.000 0.000 0.500 1

Q) # ScBP2O PBE-GGA relaxed
# - total magnetization (μB/atom) = 0.000
# - space-group type = P4/mmm, No. 123
# - crystal system = tetragonal
data_ScBP2O
_space_group_name_H-M_alt 'P 1'
_space_group_IT_number 1
_space_group_name_Hall 'P 1'
_cell_length_a 3.772
_cell_length_b 3.772
_cell_length_c 4.702
_cell_angle_alpha 90.00
_cell_angle_beta 90.00
_cell_angle_gamma 90.00
loop_
_atom_site_label
_atom_site_fract_x
_atom_site_fract_y
_atom_site_fract_z
_atom_site_occupancy
Sc1 0.500 0.500 0.500 1
P1 0.000 0.500 0.000 1
P2 0.500 0.000 0.000 1
B1 0.000 0.000 0.000 1
O1 0.000 0.000 0.500 1

It is Q) that is the most stable of them.

P) # SiBP2O PBE-GGA relaxed
# - total magnetization (μB/atom) = 0.000
# - space-group type = P4/mmm, No. 123
# - crystal system = tetragonal
data_SiBP2O
_space_group_name_H-M_alt 'P 1'
_space_group_IT_number 1
_space_group_name_Hall 'P 1'
_cell_length_a 4.648
_cell_length_b 4.648
_cell_length_c 3.225
_cell_angle_alpha 90.00
_cell_angle_beta 90.00
_cell_angle_gamma 90.00
loop_
_atom_site_label
_atom_site_fract_x
_atom_site_fract_y
_atom_site_fract_z
_atom_site_occupancy
P1 0.000 0.500 0.000 1
P2 0.500 0.000 0.000 1
Si1 0.000 0.000 0.000 1
B1 0.500 0.500 0.500 1
O1 0.000 0.000 0.500 1

Q) # SiBP2O PBE-GGA relaxed
# - total magnetization (μB/atom) = 0.000
# - space-group type = P4/mmm, No. 123
# - crystal system = tetragonal
data_SiBP2O
_space_group_name_H-M_alt 'P 1'
_space_group_IT_number 1
_space_group_name_Hall 'P 1'
_cell_length_a 4.822
_cell_length_b 4.822
_cell_length_c 2.735
_cell_angle_alpha 90.00
_cell_angle_beta 90.00
_cell_angle_gamma 90.00
loop_
_atom_site_label
_atom_site_fract_x
_atom_site_fract_y
_atom_site_fract_z
_atom_site_occupancy
P1 0.000 0.500 0.000 1
P2 0.500 0.000 0.000 1
Si1 0.500 0.500 0.500 1
B1 0.000 0.000 0.000 1
O1 0.000 0.000 0.500 1

It is Q) that is the most stable of them.

P) # SnBP2O PBE-GGA relaxed
# - total magnetization (μB/atom) = 0.000
# - space-group type = P4/mmm, No. 123
# - crystal system = tetragonal
data_SnBP2O
_space_group_name_H-M_alt 'P 1'
_space_group_IT_number 1
_space_group_name_Hall 'P 1'
_cell_length_a 5.142
_cell_length_b 5.142
_cell_length_c 3.880
_cell_angle_alpha 90.00
_cell_angle_beta 90.00
_cell_angle_gamma 90.00
loop_
_atom_site_label
_atom_site_fract_x
_atom_site_fract_y
_atom_site_fract_z
_atom_site_occupancy
P1 0.000 0.500 0.000 1
P2 0.500 0.000 0.000 1
B1 0.500 0.500 0.500 1
Sn1 0.000 0.000 0.000 1
O1 0.000 0.000 0.500 1

Q) # SnBP2O PBE-GGA relaxed
# - total magnetization (μB/atom) = 0.000
# - space-group type = P4/mmm, No. 123
# - crystal system = tetragonal
data_SnBP2O
_space_group_name_H-M_alt 'P 1'
_space_group_IT_number 1
_space_group_name_Hall 'P 1'
_cell_length_a 5.530
_cell_length_b 5.530
_cell_length_c 2.663
_cell_angle_alpha 90.00
_cell_angle_beta 90.00
_cell_angle_gamma 90.00
loop_
_atom_site_label
_atom_site_fract_x
_atom_site_fract_y
_atom_site_fract_z
_atom_site_occupancy
P1 0.000 0.500 0.000 1
P2 0.500 0.000 0.000 1
B1 0.000 0.000 0.000 1
Sn1 0.500 0.500 0.500 1
O1 0.000 0.000 0.500 1

It is Q) that is the most stable of them.

P) # TaBPO2 PBE-GGA relaxed
# - total magnetization (μB/atom) = 0.000
# - space-group type = P4/mmm, No. 123
# - crystal system = tetragonal
data_TaBPO2
_space_group_name_H-M_alt 'P 1'
_space_group_IT_number 1
_space_group_name_Hall 'P 1'
_cell_length_a 3.816
_cell_length_b 3.816
_cell_length_c 5.335
_cell_angle_alpha 90.00
_cell_angle_beta 90.00
_cell_angle_gamma 90.00
loop_
_atom_site_label
_atom_site_fract_x
_atom_site_fract_y
_atom_site_fract_z
_atom_site_occupancy
P1 0.000 0.000 0.500 1
B1 0.500 0.500 0.500 1
O1 0.000 0.500 0.000 1
O2 0.500 0.000 0.000 1
Ta1 0.000 0.000 0.000 1

Q) # TaBPO2 PBE-GGA relaxed
# - total magnetization (μB/atom) = 0.000
# - space-group type = P4/mmm, No. 123
# - crystal system = tetragonal
data_TaBPO2
_space_group_name_H-M_alt 'P 1'
_space_group_IT_number 1
_space_group_name_Hall 'P 1'
_cell_length_a 3.523
_cell_length_b 3.523
_cell_length_c 4.171
_cell_angle_alpha 90.00
_cell_angle_beta 90.00
_cell_angle_gamma 90.00
loop_
_atom_site_label
_atom_site_fract_x
_atom_site_fract_y
_atom_site_fract_z
_atom_site_occupancy
P1 0.000 0.000 0.500 1
B1 0.000 0.000 0.000 1
O1 0.000 0.500 0.000 1
O2 0.500 0.000 0.000 1
Ta1 0.500 0.500 0.500 1

It is P) that is the most stable of them.

P) # TcBPO2 PBE-GGA relaxed
# - total magnetization (μB/atom) = 0.066
# - space-group type = P4/mmm, No. 123
# - crystal system = tetragonal
data_TcBPO2
_space_group_name_H-M_alt 'P 1'
_space_group_IT_number 1
_space_group_name_Hall 'P 1'
_cell_length_a 3.154
_cell_length_b 7.504
_cell_length_c 3.154
_cell_angle_alpha 90.00
_cell_angle_beta 90.00
_cell_angle_gamma 90.00
loop_
_atom_site_label
_atom_site_fract_x
_atom_site_fract_y
_atom_site_fract_z
_atom_site_occupancy
P1 0.000 0.500 0.000 1
B1 0.000 0.000 0.000 1
Tc1 0.500 0.500 0.500 1
O1 0.000 0.000 0.500 1
O2 0.500 0.000 0.000 1

Q) # TcBPO2 PBE-GGA relaxed
# - total magnetization (μB/atom) = 0.000
# - space-group type = P4/mmm, No. 123
# - crystal system = tetragonal
data_TcBPO2
_space_group_name_H-M_alt 'P 1'
_space_group_IT_number 1
_space_group_name_Hall 'P 1'
_cell_length_a 3.673
_cell_length_b 3.673
_cell_length_c 5.224
_cell_angle_alpha 90.00
_cell_angle_beta 90.00
_cell_angle_gamma 90.00
loop_
_atom_site_label
_atom_site_fract_x
_atom_site_fract_y
_atom_site_fract_z
_atom_site_occupancy
P1 0.000 0.000 0.500 1
B1 0.500 0.500 0.500 1
Tc1 0.000 0.000 0.000 1
O1 0.000 0.500 0.000 1
O2 0.500 0.000 0.000 1

It is P) that is the most stable of them.

P) # TlBPO2 PBE-GGA relaxed
# - total magnetization (μB/atom) = 0.000
# - space-group type = P4/mmm, No. 123
# - crystal system = tetragonal
data_TlBPO2
_space_group_name_H-M_alt 'P 1'
_space_group_IT_number 1
_space_group_name_Hall 'P 1'
_cell_length_a 3.569
_cell_length_b 3.569
_cell_length_c 4.667
_cell_angle_alpha 90.00
_cell_angle_beta 90.00
_cell_angle_gamma 90.00
loop_
_atom_site_label
_atom_site_fract_x
_atom_site_fract_y
_atom_site_fract_z
_atom_site_occupancy
P1 0.000 0.000 0.500 1
Tl1 0.500 0.500 0.500 1
B1 0.000 0.000 0.000 1
O1 0.000 0.500 0.000 1
O2 0.500 0.000 0.000 1

Q) # TlBPO2 PBE-GGA relaxed
# - total magnetization (μB/atom) = 0.181
# - space-group type = P4/mmm, No. 123
# - crystal system = tetragonal
data_TlBPO2
_space_group_name_H-M_alt 'P 1'
_space_group_IT_number 1
_space_group_name_Hall 'P 1'
_cell_length_a 4.010
_cell_length_b 4.010
_cell_length_c 5.868
_cell_angle_alpha 90.00
_cell_angle_beta 90.00
_cell_angle_gamma 90.00
loop_
_atom_site_label
_atom_site_fract_x
_atom_site_fract_y
_atom_site_fract_z
_atom_site_occupancy
P1 0.000 0.000 0.500 1
Tl1 0.000 0.000 0.000 1
B1 0.500 0.500 0.500 1
O1 0.000 0.500 0.000 1
O2 0.500 0.000 0.000 1

It is P) that is the most stable of them.